[1]
## BaIn3Hg2 (PBE)

Data for a relaxed structure of BaIn3Hg2.

D(E_F): 2.7 states/eV/f.u.
Energy relative to the lowest polymorph listed for this composition: 0 meV per atom
Formation enthalpy at 0 K: -0.294 eV per atom
Size of the total moment: 0.00 μB per atom

abc: 18.479 5.069 8.091
angles: 90.00 111.75 90.00
Space group C2/m (No. 12)
One atom of each set of equivalent atoms:
Ba 0.121 0.000 0.185
In 0.066 0.000 0.679
In 0.127 0.500 0.516
In 0.197 0.500 0.928
Hg 0.021 0.500 0.832
Hg 0.237 0.000 0.658

***

[2]
## La2Pm5Nd4 (PBE)

Data for a relaxed structure of La2Pm5Nd4.

D(E_F): 20.0 states/eV/f.u.
Energy relative to the lowest polymorph listed for this composition: 0 meV per atom
Formation enthalpy at 0 K: 0.092 eV per atom
Size of the total moment: 0.00 μB per atom

abc: 20.249 6.026 6.427
angles: 90.00 96.63 90.00
Space group C2/m (No. 12)
One atom of each set of equivalent atoms:
La 0.099 0.000 0.033
Pm 0.000 0.000 0.500
Pm 0.126 0.500 0.347
Pm 0.215 0.500 0.893
Nd 0.043 0.500 0.787
Nd 0.195 0.000 0.572